[1]
This record from Alexandria via LeMat-Bulk describes crystalline Cs2CaAg2Br6 at its relaxed geometry. The functional is PBE.

Unit cell a=8.154 b=8.307 c=8.286 alpha=115.90 beta=90.00 gamma=119.40
Positions (direct):
Cs1 0.734 0.467 0.204
Cs2 0.266 0.533 0.796
Ca1 0.500 0.000 0.500
Ag1 0.937 0.875 0.788
Ag2 0.063 0.125 0.212
Br1 0.730 0.460 0.644
Br2 0.214 0.907 0.207
Br3 0.307 0.093 0.793
Br4 0.786 0.093 0.793
Br5 0.693 0.907 0.207
Br6 0.270 0.540 0.356

[2]
This record from Alexandria via LeMat-Bulk describes crystalline Cs2CaAgBr5 at its relaxed geometry. The functional is PBE.

Unit cell a=4.538 b=10.863 c=14.663 alpha=90.00 beta=90.00 gamma=102.06
Positions (direct):
Cs1 0.873 0.747 0.813
Cs2 0.115 0.230 0.688
Cs3 0.127 0.253 0.313
Cs4 0.885 0.770 0.188
Ca1 0.794 0.588 0.517
Ca2 0.206 0.412 0.017
Ag1 0.561 0.123 0.943
Ag2 0.439 0.877 0.443
Br1 0.340 0.680 0.003
Br2 0.695 0.390 0.883
Br3 0.503 0.006 0.786
Br4 0.288 0.577 0.648
Br5 0.931 0.862 0.545
Br6 0.660 0.320 0.503
Br7 0.305 0.610 0.383
Br8 0.497 0.994 0.286
Br9 0.712 0.423 0.148
Br10 0.069 0.138 0.045

[3]
This record from Alexandria via LeMat-Bulk describes crystalline Cs2CaAgBr6 at its relaxed geometry. The functional is PBE.

Unit cell a=5.640 b=5.640 c=11.293 alpha=90.00 beta=90.00 gamma=90.00
Positions (direct):
Cs1 0.000 0.000 0.740
Cs2 0.000 0.000 0.260
Ca1 0.500 0.500 0.000
Ag1 0.500 0.500 0.500
Br1 0.500 0.000 0.000
Br2 0.500 0.000 0.500
Br3 0.000 0.500 0.000
Br4 0.000 0.500 0.500
Br5 0.500 0.500 0.741
Br6 0.500 0.500 0.259

[4]
This record from Alexandria via LeMat-Bulk describes crystalline CsCaAgBr4 at its relaxed geometry. The functional is PBE.

Unit cell a=7.294 b=7.618 c=11.234 alpha=90.00 beta=125.46 gamma=90.00
Positions (direct):
Cs1 0.669 0.750 0.946
Cs2 0.331 0.250 0.054
Ca1 0.775 0.750 0.451
Ca2 0.225 0.250 0.549
Ag1 0.186 0.750 0.341
Ag2 0.814 0.250 0.659
Br1 0.113 0.505 0.697
Br2 0.887 0.005 0.303
Br3 0.887 0.495 0.303
Br4 0.113 0.995 0.697
Br5 0.322 0.750 0.162
Br6 0.678 0.250 0.838
Br7 0.572 0.750 0.604
Br8 0.428 0.250 0.396

[5]
This record from Alexandria via LeMat-Bulk describes crystalline CaCuAgBr5 at its relaxed geometry. The functional is PBE.

Unit cell a=7.453 b=7.453 c=11.070 alpha=111.40 beta=111.40 gamma=88.77
Positions (direct):
Ca1 0.000 0.000 0.500
Ca2 0.000 0.000 0.000
Cu1 0.683 0.317 0.250
Cu2 0.317 0.683 0.750
Ag1 0.361 0.639 0.250
Ag2 0.639 0.361 0.750
Br1 0.110 0.890 0.250
Br2 0.890 0.110 0.750
Br3 0.869 0.357 0.128
Br4 0.131 0.643 0.872
Br5 0.643 0.131 0.372
Br6 0.357 0.869 0.628
Br7 0.729 0.654 0.429
Br8 0.271 0.346 0.571
Br9 0.346 0.271 0.071
Br10 0.654 0.729 0.929

[6]
This record from Alexandria via LeMat-Bulk describes crystalline CaDyAgBr6 at its relaxed geometry. The functional is PBE.

Unit cell a=7.220 b=7.220 c=12.886 alpha=90.00 beta=90.00 gamma=120.00
Positions (direct):
Ca1 0.333 0.667 0.250
Ca2 0.667 0.333 0.750
Dy1 0.667 0.333 0.250
Dy2 0.333 0.667 0.750
Ag1 0.000 0.000 0.000
Ag2 0.000 0.000 0.500
Br1 0.663 0.652 0.126
Br2 0.989 0.337 0.126
Br3 0.337 0.989 0.626
Br4 0.011 0.663 0.874
Br5 0.348 0.337 0.374
Br6 0.989 0.652 0.374
Br7 0.652 0.989 0.874
Br8 0.663 0.011 0.374
Br9 0.011 0.348 0.626
Br10 0.348 0.011 0.126
Br11 0.652 0.663 0.626
Br12 0.337 0.348 0.874

[7]
This record from Alexandria via LeMat-Bulk describes crystalline CaErAgBr6 at its relaxed geometry. The functional is PBE.

Unit cell a=7.194 b=7.194 c=12.885 alpha=90.00 beta=90.00 gamma=120.00
Positions (direct):
Ca1 0.333 0.667 0.250
Ca2 0.667 0.333 0.750
Er1 0.667 0.333 0.250
Er2 0.333 0.667 0.750
Ag1 0.000 0.000 0.000
Ag2 0.000 0.000 0.500
Br1 0.663 0.650 0.126
Br2 0.987 0.337 0.126
Br3 0.337 0.987 0.626
Br4 0.013 0.663 0.874
Br5 0.350 0.337 0.374
Br6 0.987 0.650 0.374
Br7 0.650 0.987 0.874
Br8 0.663 0.013 0.374
Br9 0.013 0.350 0.626
Br10 0.350 0.013 0.126
Br11 0.650 0.663 0.626
Br12 0.337 0.350 0.874

[8]
This record from Alexandria via LeMat-Bulk describes crystalline CaAg2GeBr6 at its relaxed geometry. The functional is PBE.

Unit cell a=7.553 b=9.274 c=9.274 alpha=87.70 beta=82.96 gamma=82.96
Positions (direct):
Ca1 0.250 0.912 0.088
Ca2 0.750 0.088 0.912
Ag1 0.184 0.756 0.568
Ag2 0.316 0.432 0.244
Ag3 0.816 0.244 0.432
Ag4 0.684 0.568 0.756
Ge1 0.250 0.264 0.736
Ge2 0.750 0.736 0.264
Br1 0.114 0.960 0.801
Br2 0.386 0.199 0.040
Br3 0.886 0.040 0.199
Br4 0.614 0.801 0.960
Br5 0.401 0.874 0.362
Br6 0.099 0.638 0.126
Br7 0.599 0.126 0.638
Br8 0.901 0.362 0.874
Br9 0.846 0.721 0.531
Br10 0.654 0.469 0.279
Br11 0.154 0.279 0.469
Br12 0.346 0.531 0.721

| no. | formation energy from raw total energies (meV per atom) | calculated volume (Å³/f.u.) | E (eV per atom) |
| --- | --- | --- | --- |
| 1 | -1324 | 423 | -3.093 |
| 2 | -1572 | 353 | -3.230 |
| 3 | -1408 | 359 | -3.067 |
| 4 | -1470 | 254 | -3.241 |
| 5 | -872 | 264 | -3.036 |
| 6 | -1560 | 291 | -3.725 |
| 7 | -1557 | 289 | -3.719 |
| 8 | -900 | 320 | -3.136 |